Entry 1:
Density functional theory data (GGA-PBE) for a relaxed structure of Ac6P2PtS3.

Computed properties:
N(E_F) = 0.57 states/eV per atom
Raw formation energy = -20.30 eV per formula unit
Raw total energy = -6.183 eV/atom
ρ = 7946 kg/m³
Total moment = 0.00 μB per atom

a = 9.793 Å, b = 9.793 Å, c = 8.832 Å
α = 102.75°, β = 102.75°, γ = 25.75°
Sites, in units of the cell vectors:
Ac 0.001 0.001 0.248
Ac 0.331 0.331 0.420
Ac 0.334 0.334 0.911
Ac 0.666 0.666 0.089
Ac 0.669 0.669 0.580
Ac 0.999 0.999 0.752
P 0.166 0.166 0.335
P 0.834 0.834 0.665
Pt 0.500 0.500 0.000
S 0.169 0.169 0.834
S 0.500 0.500 0.500
S 0.831 0.831 0.166

=====

Entry 2:
Density functional theory data (GGA-PBE) for a relaxed structure of Ac8PPt4S3.

Computed properties:
N(E_F) = 0.55 states/eV per atom
Raw formation energy = -23.52 eV per formula unit
Raw total energy = -6.147 eV/atom
ρ = 9303 kg/m³
Total moment = 0.00 μB per atom

a = 9.063 Å, b = 9.063 Å, c = 9.063 Å
α = 56.69°, β = 56.69°, γ = 56.69°
Sites, in units of the cell vectors:
Ac 0.244 0.749 0.749
Ac 0.246 0.246 0.246
Ac 0.251 0.251 0.756
Ac 0.251 0.756 0.251
Ac 0.749 0.244 0.749
Ac 0.749 0.749 0.244
Ac 0.754 0.754 0.754
Ac 0.756 0.251 0.251
P 0.000 0.000 0.000
Pt 0.000 0.000 0.500
Pt 0.000 0.500 0.000
Pt 0.500 0.000 0.000
Pt 0.500 0.500 0.500
S 0.000 0.500 0.500
S 0.500 0.000 0.500
S 0.500 0.500 0.000

=====

Entry 3:
Density functional theory data (GGA-PBE) for a relaxed structure of Ac8P3PtS4.

Computed properties:
N(E_F) = 0.57 states/eV per atom
Raw formation energy = -27.36 eV per formula unit
Raw total energy = -6.188 eV/atom
ρ = 7769 kg/m³
Total moment = 0.00 μB per atom

a = 8.759 Å, b = 8.759 Å, c = 8.759 Å
α = 60.18°, β = 60.18°, γ = 60.18°
Sites, in units of the cell vectors:
Ac 0.247 0.750 0.750
Ac 0.248 0.248 0.248
Ac 0.250 0.250 0.753
Ac 0.250 0.753 0.250
Ac 0.750 0.247 0.750
Ac 0.750 0.750 0.247
Ac 0.752 0.752 0.752
Ac 0.753 0.250 0.250
P 0.000 0.000 0.500
P 0.000 0.500 0.000
P 0.500 0.000 0.000
Pt 0.500 0.500 0.500
S 0.000 0.000 0.000
S 0.000 0.500 0.500
S 0.500 0.000 0.500
S 0.500 0.500 0.000

=====

Entry 4:
Density functional theory data (GGA-PBE) for a relaxed structure of AcP2PtS8.

Computed properties:
N(E_F) = 0.55 states/eV per atom
Raw formation energy = -4.60 eV per formula unit
Raw total energy = -4.883 eV/atom
ρ = 3903 kg/m³
Total moment = 0.00 μB per atom

a = 6.543 Å, b = 6.543 Å, c = 8.499 Å
α = 90.00°, β = 90.00°, γ = 120.00°
Sites, in units of the cell vectors:
Ac 0.000 0.000 0.000
P 0.333 0.667 0.240
P 0.667 0.333 0.760
Pt 0.000 0.000 0.500
S 0.155 0.310 0.296
S 0.155 0.845 0.296
S 0.310 0.155 0.704
S 0.333 0.667 0.003
S 0.667 0.333 0.997
S 0.690 0.845 0.296
S 0.845 0.155 0.704
S 0.845 0.690 0.704